1.
This record from the Open Quantum Materials Database describes an optimized crystal structure of BiPbAu2. The functional is PBE.

Unit cell a=5.167 b=5.167 c=5.167 alpha=60.00 beta=60.00 gamma=60.00
Atoms (fractional coordinates):
Au1 0.000 0.000 0.000
Au2 0.750 0.750 0.750
Bi1 0.250 0.250 0.250
Pb1 0.500 0.500 0.500

Properties
Raw total energy: -3.421 eV/atom
Space-group type: F-43m



2.
This record from the Open Quantum Materials Database describes an optimized crystal structure of BiPb2Au. The functional is PBE.

Unit cell a=5.381 b=5.381 c=5.381 alpha=60.00 beta=60.00 gamma=60.00
Atoms (fractional coordinates):
Au1 0.500 0.500 0.500
Bi1 0.250 0.250 0.250
Pb1 0.000 0.000 0.000
Pb2 0.750 0.750 0.750

Properties
Raw total energy: -3.590 eV/atom
Space-group type: F-43m



3.
This record from the Open Quantum Materials Database describes an optimized crystal structure of Bi2PbAu. The functional is PBE.

Unit cell a=5.391 b=5.391 c=5.391 alpha=60.00 beta=60.00 gamma=60.00
Atoms (fractional coordinates):
Au1 0.250 0.250 0.250
Bi1 0.000 0.000 0.000
Bi2 0.750 0.750 0.750
Pb1 0.500 0.500 0.500

Properties
Raw total energy: -3.656 eV/atom
Space-group type: F-43m



4.
This record from the Open Quantum Materials Database describes an optimized crystal structure of BiPbAu2. The functional is PBE.

Unit cell a=4.600 b=4.600 c=5.695 alpha=90.00 beta=90.00 gamma=120.00
Atoms (fractional coordinates):
Au1 0.667 0.333 0.250
Au2 0.667 0.333 0.750
Bi1 0.000 0.000 0.000
Pb1 0.333 0.667 0.500

Properties
Raw total energy: -3.663 eV/atom
Space-group type: P-6m2